The following is a DFT calculation (PBE) of Hg2BiCl8 after structural relaxation.

Summary:
The formation energy without anion corrections comes out at -6.27 eV/f.u. The symmetry is No. 12.

```
11
Lattice="6.817 0.498 0.414 0.707 7.915 1.265 0.707 2.691 7.550" Properties=species:S:1:pos:R:3 pbc="T T T"
Cl 2.870 4.091 3.400
Cl 6.045 6.216 2.182
Cl 6.045 3.282 5.713
Cl 3.085 9.060 7.531
Cl 2.187 4.888 7.047
Cl 5.147 2.044 1.699
Cl 5.362 7.013 5.829
Cl 2.187 7.822 3.517
Hg 2.273 2.347 1.951
Hg 5.959 8.757 7.279
Bi 0.000 0.000 0.000
```


The following is a DFT calculation (PBE) of Ba8In2Pb after structural relaxation.

Summary:
The value obtained for the calculated formation energy is -0.252 eV per atom. The energy above the most stable polymorph in this dataset comes out at 47 meV/atom. The symmetry is No. 71.

```
11
Lattice="5.657 0.000 -1.722 -1.446 8.363 -4.750 0.089 0.294 10.449" Properties=species:S:1:pos:R:3 pbc="T T T"
Ba -0.459 2.654 -1.508
Ba 4.760 6.003 5.484
Ba 1.186 4.907 3.898
Ba 2.479 7.430 -2.011
Ba 3.115 3.751 0.079
Ba 3.674 7.379 1.916
Ba 0.627 1.279 2.061
Ba 1.822 1.228 5.988
In 4.188 2.772 3.606
In 0.113 5.886 0.371
Pb 2.829 0.000 -0.861
```


The following is a DFT calculation (PBE) of Ta2FeW after structural relaxation.

Summary:
The value obtained for the calculated formation energy is 0.099 eV per atom. The symmetry is No. 123.

```
4
Lattice="-0.084 2.076 1.938 -2.224 1.157 -1.335 -4.887 -4.311 4.407" Properties=species:S:1:pos:R:3 pbc="T T T"
Ta -4.708 -4.152 4.245
Ta -2.623 -2.314 2.365
W -2.376 0.539 1.403
Fe -4.819 -1.617 3.606
```


The following is a DFT calculation (PBE) of FeAs2Os after structural relaxation.

Summary:
The value obtained for the calculated formation energy is 0.110 eV per atom. The energy above the most stable polymorph in this dataset comes out at 0 meV/atom. The symmetry is No. 99.

```
4
Lattice="-2.882 0.089 -0.443 0.408 -0.727 -2.795 -0.519 -7.504 1.877" Properties=species:S:1:pos:R:3 pbc="T T T"
Os -1.615 -5.783 -0.253
As -0.482 -6.967 1.743
As -1.410 -2.818 -0.994
Fe -0.265 -3.830 0.958
```


The following is a DFT calculation (PBE) of CsBe3As3 after structural relaxation.

Summary:
The value obtained for the calculated formation energy is -0.026 eV per atom. The symmetry is No. 176.

```
14
Lattice="3.997 0.000 0.000 0.000 8.422 -4.863 0.000 0.000 9.725" Properties=species:S:1:pos:R:3 pbc="T T T"
Be 2.998 7.326 -3.957
Be 0.999 1.096 8.820
Be 2.998 1.332 0.497
Be 0.999 7.090 4.366
Be 0.999 0.236 1.402
Be 2.998 8.186 3.460
As 2.998 5.905 3.896
As 2.998 0.421 2.663
As 0.999 8.001 2.200
As 2.998 2.096 8.029
As 0.999 6.327 -3.166
As 0.999 2.517 0.967
Cs 2.998 5.615 0.000
Cs 0.999 2.807 4.863
```


The following is a DFT calculation (PBE) of PaZnGa4 after structural relaxation.

Summary:
The value obtained for the calculated formation energy is -0.007 eV per atom. The energy above the most stable polymorph in this dataset comes out at 112 meV/atom. The symmetry is No. 216.

```
6
Lattice="5.459 0.000 0.000 2.729 4.727 0.000 2.729 1.576 4.457" Properties=species:S:1:pos:R:3 pbc="T T T"
Ga 5.459 3.152 0.556
Ga 4.093 3.940 2.786
Ga 6.824 3.940 2.786
Ga 5.459 1.575 2.786
Zn 0.000 0.000 0.000
Pa 2.729 1.576 1.114
```


The following is a DFT calculation (PBE) of NaNpAs2 after structural relaxation.

Summary:
The value obtained for the calculated formation energy is -0.411 eV per atom. The energy above the most stable polymorph in this dataset comes out at 0 meV/atom. The symmetry is No. 166.

```
4
Lattice="4.223 0.000 0.000 2.112 3.657 0.000 2.112 1.219 6.703" Properties=species:S:1:pos:R:3 pbc="T T T"
As 6.335 3.657 5.307
As 2.112 1.219 1.396
Na 4.223 2.438 3.351
Np 0.000 0.000 0.000
```


The following is a DFT calculation (PBE) of CeDy2Ir after structural relaxation.

Summary:
The value obtained for the calculated formation energy is -0.516 eV per atom. The energy above the most stable polymorph in this dataset comes out at 0 meV/atom. The symmetry is No. 62.

```
16
Lattice="-4.389 -4.518 1.369 3.485 -4.645 -4.154 5.168 -2.768 7.430" Properties=species:S:1:pos:R:3 pbc="T T T"
Dy 3.877 -5.107 0.654
Dy -0.511 -2.503 0.197
Dy 2.855 -8.400 1.687
Dy 1.957 -4.078 -2.106
Dy 0.387 -6.824 3.990
Dy 1.409 -3.531 2.958
Dy 2.307 -7.853 6.751
Dy 4.775 -9.428 4.447
Ir 1.864 -9.298 4.281
Ir 1.922 -5.121 5.797
Ir 2.400 -2.633 0.363
Ir 2.341 -6.810 -1.152
Ce 3.924 -5.819 4.144
Ce 6.587 -7.195 1.780
Ce 0.339 -6.112 0.501
Ce -2.323 -4.736 2.865
```


Computed DOS(E_F), in the same sequence as the records: 0.80; 0.85; 0.89; 0.71; 0.39; 1.25; 1.98; 1.94 states/eV/atom.